FeCo2Ni: optimized geometry, PBE.

Unit cell a=4.3379 b=4.3379 c=4.3468 alpha=80.45 beta=80.45 gamma=33.57
Fractional positions:
Fe 0.4996 0.4996 0.5048
Co 0.0002 0.0002 0.0044
Co 0.2516 0.2516 0.2411
Ni 0.7485 0.7485 0.7497

**Total DFT energy (no corrections)**: -7.116 eV/atom
**Mass density**: 8.663 g/cm3
**Energy of formation**: -2 meV/atom
**E above lowest polymorph**: 23 meV per atom
**Density of states at the Fermi level**: 3.61 states/eV/f.u.